# GGA-PBE NaAlGaAu, optimized geometry
data_NaAlGaAu
_cell_length_a 6.690
_cell_length_b 6.690
_cell_length_c 6.690
_cell_angle_alpha 90.00
_cell_angle_beta 90.00
_cell_angle_gamma 90.00
_space_group_name_H-M_alt 'F -4 3 m'
_space_group_IT_number 216
_space_group_name_Hall 'F -4 2 3'
loop_
_atom_site_label
_atom_site_type_symbol
_atom_site_fract_x
_atom_site_fract_y
_atom_site_fract_z
_atom_site_occupancy
Na1 Na 0.000 0.000 0.000 1
Al1 Al 0.250 0.250 0.250 1
Ga1 Ga 0.000 0.000 0.500 1
Au1 Au 0.250 0.250 0.750 1
# Final energy (eV per atom): -2.8702
# E above lowest polymorph (meV/atom): 103.8

=====

# GGA-PBE Na4Al2GaAu, optimized geometry
data_Na4Al2GaAu
_cell_length_a 4.843
_cell_length_b 4.843
_cell_length_c 6.927
_cell_angle_alpha 90.00
_cell_angle_beta 90.00
_cell_angle_gamma 90.00
_space_group_name_H-M_alt 'P -4 m 2'
_space_group_IT_number 115
loop_
_space_group_symop_operation_xyz
'x,y,z'
'y,-x,-z'
'-x,-y,z'
'-y,x,-z'
'-x,y,z'
'-y,-x,-z'
'x,-y,z'
'y,x,-z'
loop_
_atom_site_label
_atom_site_type_symbol
_atom_site_fract_x
_atom_site_fract_y
_atom_site_fract_z
_atom_site_occupancy
Na1 Na 0.000 0.000 0.000 1
Na2 Na 0.000 0.500 0.750 1
Na3 Na 0.500 0.500 0.500 1
Al1 Al 0.000 0.500 0.245 1
Ga1 Ga 0.000 0.000 0.500 1
Au1 Au 0.500 0.500 0.000 1
# Final energy (eV per atom): -2.4339

=====

# GGA-PBE NaAlGaAu, optimized geometry
data_NaAlGaAu
_cell_length_a 6.594
_cell_length_b 6.594
_cell_length_c 6.594
_cell_angle_alpha 90.00
_cell_angle_beta 90.00
_cell_angle_gamma 90.00
_space_group_name_H-M_alt 'F -4 3 m'
_space_group_IT_number 216
_space_group_name_Hall 'F -4 2 3'
loop_
_atom_site_label
_atom_site_type_symbol
_atom_site_fract_x
_atom_site_fract_y
_atom_site_fract_z
_atom_site_occupancy
Na1 Na 0.000 0.000 0.000 1
Al1 Al 0.250 0.250 0.750 1
Ga1 Ga 0.250 0.250 0.250 1
Au1 Au 0.000 0.000 0.500 1
# Final energy (eV per atom): -2.9461
# E above lowest polymorph (meV/atom): 27.9